This record from Alexandria via LeMat-Bulk describes Tc2OsCl after structural relaxation. The functional is PBE.

Geometry as POSCAR:
```
Tc2OsCl
1.0
2.835 0.000 0.000
0.000 2.835 0.000
0.000 0.000 7.277
Cl Os Tc
1 1 2
Direct
0.500 0.500 0.250
0.500 0.500 0.750
0.000 0.000 0.999
0.000 0.000 0.501
```

Computed properties:
Energy relative to the elements, uncorrected (eV per atom): 0.4401
Calculated density (g/cm3): 11.969

This record from Alexandria via LeMat-Bulk describes Ta2SiTc after structural relaxation. The functional is PBE.

Geometry as POSCAR:
```
Ta2SiTc
1.0
-3.367 0.324 3.397
1.658 -2.518 3.727
2.131 3.475 -2.524
Si Ta Tc
1 2 1
Direct
0.750 0.250 0.500
0.000 0.000 0.000
0.500 0.500 0.000
0.250 0.750 0.500
```

Computed properties:
Energy relative to the elements, uncorrected (eV per atom): -0.1892
Calculated density (g/cm3): 12.674

This record from Alexandria via LeMat-Bulk describes La2Nd2Rh3 after structural relaxation. The functional is PBE.

Geometry as POSCAR:
```
La2Nd2Rh3
1.0
-4.611 5.717 -2.455
3.304 -3.450 -6.096
-4.191 -5.184 3.942
La Nd Rh
4 4 6
Direct
0.000 0.000 0.886
0.500 0.886 0.500
0.114 0.614 0.614
0.386 0.500 0.000
0.500 0.385 0.500
0.000 0.000 0.385
0.615 0.115 0.115
0.885 0.500 0.000
0.750 0.610 0.360
0.250 0.890 0.140
0.640 0.750 0.890
0.860 0.250 0.610
0.390 0.140 0.750
0.110 0.360 0.250
```

Computed properties:
Formation energy (meV/atom): -675
Calculated density (g/cm3): 8.127

This record from Alexandria via LeMat-Bulk describes Rb3Zr3NiSe8 after structural relaxation. The functional is PBE.

Geometry as POSCAR:
```
Rb3Zr3NiSe8
1.0
-4.160 -5.639 -3.423
-0.018 0.689 7.770
-5.037 6.447 -4.499
Rb Zr Ni Se
3 3 1 8
Direct
0.000 0.000 0.000
0.000 0.500 0.000
0.500 0.500 0.000
0.500 0.000 0.500
0.500 0.500 0.500
0.000 0.500 0.500
0.000 0.000 0.500
0.269 0.538 0.306
0.731 0.462 0.694
0.777 0.553 0.319
0.223 0.447 0.681
0.777 0.042 0.319
0.223 0.958 0.681
0.266 0.042 0.319
0.734 0.958 0.681
```

Computed properties:
Energy relative to the elements, uncorrected (eV per atom): -1.1392
Calculated density (g/cm3): 4.703

This record from Alexandria via LeMat-Bulk describes PmYSCl after structural relaxation. The functional is PBE.

Geometry as POSCAR:
```
PmYSCl
1.0
-2.688 -2.239 1.574
3.387 -1.492 -1.018
3.353 3.489 6.042
Pm Y S Cl
1 1 1 1
Direct
0.940 0.368 0.324
0.327 0.562 0.904
0.129 0.962 0.106
0.482 0.139 0.635
```

Computed properties:
Energy relative to the elements, uncorrected (eV per atom): -1.6159
Calculated density (g/cm3): 5.290

This record from Alexandria via LeMat-Bulk describes Sc2MnGa after structural relaxation. The functional is PBE.

Geometry as POSCAR:
```
Sc2MnGa
1.0
3.297 0.000 0.000
0.000 3.297 0.000
0.000 0.000 6.726
Sc Mn Ga
2 1 1
Direct
0.000 0.000 0.740
0.000 0.000 0.260
0.500 0.500 0.500
0.500 0.500 0.000
```

Computed properties:
Formation energy (meV/atom): -295
Calculated density (g/cm3): 4.872

This record from Alexandria via LeMat-Bulk describes MgTl2Rh3F12 after structural relaxation. The functional is PBE.

Geometry as POSCAR:
```
MgTl2Rh3F12
1.0
-0.294 -0.744 -7.405
5.432 -3.702 -3.503
-1.460 -6.691 -2.928
Mg Tl Rh F
1 2 3 12
Direct
0.000 0.000 0.000
0.656 0.656 0.656
0.344 0.344 0.344
0.500 0.000 0.000
0.000 0.500 0.000
0.000 0.000 0.500
0.329 0.329 0.936
0.929 0.929 0.318
0.318 0.929 0.929
0.936 0.329 0.329
0.929 0.318 0.929
0.329 0.936 0.329
0.671 0.671 0.064
0.071 0.071 0.682
0.682 0.071 0.071
0.064 0.671 0.671
0.071 0.682 0.071
0.671 0.064 0.671
```

Computed properties:
Energy relative to the elements, uncorrected (eV per atom): -1.8868
Calculated density (g/cm3): 5.418

This record from Alexandria via LeMat-Bulk describes MgNbH after structural relaxation. The functional is PBE.

Geometry as POSCAR:
```
MgNbH
1.0
-2.356 1.696 -0.889
0.553 -1.694 -4.699
-3.378 -4.126 1.090
H Mg Nb
2 2 2
Direct
0.138 0.552 0.281
0.638 0.888 0.781
0.137 0.226 0.934
0.637 0.214 0.434
0.137 0.716 0.610
0.637 0.724 0.110
```

Computed properties:
Electronic total energy (eV per atom): -5.016
Calculated density (g/cm3): 4.727